TiCSBr | GGA-PBE | relaxed

Cell: 3.4014 3.6179 7.9761 Å, 81.89 77.98 62.19°
Closest atoms and distances in Å follow each position.
Space group P1 (No. 1)
Unique sites:
Ti: 0.0000 0.0000 0.0000 (multiplicity 1)  3 C 2.06-2.23
C: 0.3444 0.4048 0.9113 (multiplicity 1)  1 S 1.66
S: 0.5887 0.0586 0.7592 (multiplicity 1)  1 C 1.66
Br: 0.5316 0.7036 0.2387 (multiplicity 1)  2 Ti 2.66

Calculated values
- Calculated total energy: -6.085 eV/atom
- Energy above the lowest structure with this stoichiometry: 0 meV per atom
- Formation energy (no corrections): -1.420 eV/f.u.